No. 1
## InAgSb2 (GGA-PBE)

Data for an optimized crystal structure of InAgSb2.

a = 3.4329 Å, b = 3.4329 Å, c = 30.1724 Å
α = 90.00°, β = 90.00°, γ = 120.00°
Space group R-3m (No. 166, hexagonal axes)
Asymmetric unit:
In1 0.0000 0.0000 0.0000 x3
Ag1 0.0000 0.0000 0.5000 x3
Sb1 0.0000 0.0000 0.2408 x6

Calculated values
The total DFT energy (no corrections) is -3.32 eV/atom.

***

No. 2
## InAg2Sb (GGA-PBE)

Data for an optimized crystal structure of InAg2Sb.

a = 6.496 Å, b = 8.675 Å, c = 3.154 Å
α = 90.00°, β = 90.00°, γ = 90.00°
Space group Cmmm (No. 65)
Asymmetric unit:
In1 0.000 0.000 0.000 x2
Ag1 0.250 0.250 0.500 x4
Sb1 0.000 0.500 0.000 x2

Calculated values
The total DFT energy (no corrections) is -3.05 eV/atom.

***

No. 3
## In2Ag2Sb (GGA-PBE)

Data for an optimized crystal structure of In2Ag2Sb.

a = 3.968 Å, b = 3.968 Å, c = 15.356 Å
α = 90.00°, β = 90.00°, γ = 90.00°
Space group I4/mmm (No. 139)
Asymmetric unit:
In1 0.000 0.000 0.103 x4
Ag1 0.000 0.500 0.250 x4
Sb1 0.000 0.000 0.500 x2

Calculated values
The total DFT energy (no corrections) is -2.95 eV/atom. The calculation puts the energy above the lowest structure with this stoichiometry at 42 meV/atom.

***

No. 4
## InAg2Sb (GGA-PBE)

Data for an optimized crystal structure of InAg2Sb.

a = 4.317 Å, b = 4.523 Å, c = 4.538 Å
α = 90.00°, β = 90.00°, γ = 90.00°
Space group Pmmm (No. 47)
Asymmetric unit:
In1 0.000 0.000 0.000 x1
Ag1 0.500 0.000 0.500 x1
Ag2 0.500 0.500 0.000 x1
Sb1 0.000 0.500 0.500 x1

Calculated values
The total DFT energy (no corrections) is -3.05 eV/atom.

***

No. 5
## InAgSb2 (GGA-PBE)

Data for an optimized crystal structure of InAgSb2.

a = 6.501 Å, b = 6.501 Å, c = 12.693 Å
α = 90.00°, β = 90.00°, γ = 90.00°
Space group I-42d (No. 122)
Asymmetric unit:
In1 0.000 0.000 0.000 x4
Ag1 0.000 0.000 0.500 x4
Sb1 0.230 0.250 0.625 x8

Calculated values
The total DFT energy (no corrections) is -3.29 eV/atom.

***

No. 6
## InAg2Sb (GGA-PBE)

Data for an optimized crystal structure of InAg2Sb.

a = 4.497 Å, b = 4.497 Å, c = 18.933 Å
α = 90.00°, β = 90.00°, γ = 90.00°
Space group I-42d (No. 122)
Asymmetric unit:
In1 0.000 0.000 0.000 x4
Ag1 0.244 0.250 0.125 x8
Sb1 0.000 0.000 0.500 x4

Calculated values
The total DFT energy (no corrections) is -3.03 eV/atom.

***

No. 7
## InAg2Sb (GGA-PBE)

Data for an optimized crystal structure of InAg2Sb.

a = 7.138 Å, b = 7.138 Å, c = 7.138 Å
α = 90.00°, β = 90.00°, γ = 90.00°
Space group F-43m (No. 216)
Asymmetric unit:
In1 0.000 0.000 0.000 x4
Ag1 0.000 0.000 0.500 x4
Ag2 0.250 0.250 0.750 x4
Sb1 0.250 0.250 0.250 x4

Calculated values
The total DFT energy (no corrections) is -2.96 eV/atom.

***

No. 8
## InAgSb2 (GGA-PBE)

Data for an optimized crystal structure of InAgSb2.

a = 12.334 Å, b = 3.168 Å, c = 5.979 Å
α = 90.00°, β = 116.38°, γ = 90.00°
Space group C2/m (No. 12)
Asymmetric unit:
In1 0.000 0.000 0.000 x2
Ag1 0.000 0.500 0.500 x2
Sb1 0.225 0.000 0.726 x4

Calculated values
The total DFT energy (no corrections) is -3.31 eV/atom.

***

| no. | formation energy from raw total energies (meV per atom) |
| --- | --- |
| 1 | 141 |
| 2 | 94 |
| 3 | 111 |
| 4 | 88 |
| 5 | 166 |
| 6 | 111 |
| 7 | 177 |
| 8 | 145 |